A plane-wave DFT calculation with GGA+U was carried out for Mg2MnSbO4 after structural relaxation.

* total DFT energy (no corrections): -6.05 eV per atom

```
Mg2MnSbO4
1.0
4.2974 -4.4138 0.0000
4.2974 4.4138 0.0000
-3.7118 0.0000 5.1805
Mg Mn Sb O
4 2 2 8
Direct
0.0000 0.0000 0.0000
0.0000 0.0000 0.5000
0.0000 0.5000 0.0000
0.5000 0.0000 0.5000
0.0000 0.5000 0.5000
0.5000 0.0000 0.0000
0.5000 0.5000 0.0000
0.5000 0.5000 0.5000
0.1876 0.2088 0.9004
0.2088 0.1876 0.4004
0.2259 0.7418 0.9803
0.2582 0.7741 0.5197
0.7418 0.2259 0.4803
0.7741 0.2582 0.0197
0.7912 0.8124 0.5996
0.8124 0.7912 0.0996
```